No. 1
ReNi2Br | PBE | optimized geometry

a = 3.091 Å, b = 4.355 Å, c = 9.660 Å
α = 90.00°, β = 90.00°, γ = 90.00°
Space group Cmm2 (No. 35)
Unique sites:
Re 0.000 0.000 0.000
Ni 0.000 0.000 0.611
Ni 0.000 0.500 0.801
Br 0.000 0.500 0.386

E above lowest polymorph	394	meV per atom
ΔE_f (raw)	0.79	eV per atom
M_tot	0.00	μB/f.u.
D(E_F)	9.22	states/eV per cell
theoretical density	9793	kg/m³



No. 2
Cs2Tl2InAu4 | PBE | optimized geometry

a = 11.598 Å, b = 7.609 Å, c = 7.812 Å
α = 90.00°, β = 118.24°, γ = 90.00°
Space group C2/m (No. 12)
Unique sites:
Cs 0.076 0.000 0.308
Tl 0.154 0.500 0.148
In 0.000 0.500 0.500
Au 0.185 0.309 0.808

M_tot	0.00	μB/f.u.
D(E_F)	8.60	states/eV per cell
theoretical density	8625	kg/m³
formation energy from the elements	-0.19	eV/atom



No. 3
Mn3CdPb | PBE | optimized geometry

a = 4.998 Å, b = 4.998 Å, c = 4.998 Å
α = 90.00°, β = 90.00°, γ = 90.00°
Space group Pm-3m (No. 221)
Unique sites:
Mn 0.000 0.000 0.500
Cd 0.000 0.000 0.000
Pb 0.500 0.500 0.500

E above lowest polymorph	0	meV per atom
M_tot	11.89	μB/f.u.
D(E_F)	2.98	states/eV per cell
theoretical density	6441	kg/m³
formation energy from the elements	1.03	eV/atom



No. 4
AcPm4SmS8 | PBE | optimized geometry

a = 8.3623 Å, b = 8.3623 Å, c = 20.4554 Å
α = 90.00°, β = 90.00°, γ = 120.00°
Space group R3m (No. 160, hexagonal axes)
Unique sites:
Ac 0.0000 0.0000 0.0000
Pm 0.0000 0.0000 0.2497
Pm 0.0051 0.5026 0.1256
Sm 0.0000 0.0000 0.6232
S 0.0000 0.0000 0.3814
S 0.0000 0.0000 0.8620
S 0.0354 0.5177 0.3789
S 0.1761 0.3522 0.2066

ΔE_f (raw)	-1.92	eV per atom
M_tot	0.00	μB/f.u.
D(E_F)	25.92	states/eV per cell
theoretical density	4882	kg/m³



No. 5
AcPrOs4 | PBE | optimized geometry

a = 7.810 Å, b = 7.810 Å, c = 7.810 Å
α = 90.00°, β = 90.00°, γ = 90.00°
Space group F-43m (No. 216)
Unique sites:
Ac 0.000 0.000 0.000
Pr 0.250 0.250 0.750
Os 0.125 0.125 0.375

M_tot	0.00	μB/f.u.
D(E_F)	39.18	states/eV per cell
theoretical density	15736	kg/m³
formation energy from the elements	0.10	eV/atom



No. 6
PaTi3O9 | PBE | optimized geometry

a = 5.127 Å, b = 7.406 Å, c = 8.179 Å
α = 90.00°, β = 93.32°, γ = 90.00°
Space group P2_1/m (No. 11)
Unique sites:
Pa 0.031 0.250 0.428
Ti 0.000 0.000 0.000
Ti 0.469 0.012 0.701
O 0.093 0.250 0.969
O 0.148 0.571 0.780
O 0.248 0.549 0.465
O 0.323 0.553 0.118
O 0.326 0.250 0.650
O 0.404 0.250 0.315

ΔE_f (raw)	-2.92	eV per atom
M_tot	1.03	μB/f.u.
D(E_F)	7.42	states/eV per cell
theoretical density	5555	kg/m³



No. 7
Ca6BiRh2 | PBE | optimized geometry

a = 9.769 Å, b = 9.783 Å, c = 10.821 Å
α = 90.00°, β = 90.00°, γ = 90.00°
Space group Immm (No. 71)
Unique sites:
Ca 0.000 0.212 0.239
Ca 0.186 0.500 0.169
Ca 0.210 0.320 0.500
Bi 0.000 0.000 0.000
Bi 0.000 0.000 0.500
Rh 0.000 0.349 0.000
Rh 0.000 0.500 0.375

M_tot	0.00	μB/f.u.
D(E_F)	23.93	states/eV per cell
theoretical density	4209	kg/m³
formation energy from the elements	-0.47	eV/atom



No. 8
KYAg | PBE | optimized geometry

a = 7.467 Å, b = 7.467 Å, c = 7.467 Å
α = 90.00°, β = 90.00°, γ = 90.00°
Space group F-43m (No. 216)
Unique sites:
K 0.000 0.000 0.000
Y 0.000 0.000 0.500
Ag 0.250 0.250 0.250

M_tot	0.00	μB/f.u.
D(E_F)	13.96	states/eV per cell
theoretical density	3764	kg/m³
formation energy from the elements	0.42	eV/atom



No. 9
RbAlH2 | PBE | optimized geometry

a = 13.552 Å, b = 5.692 Å, c = 4.461 Å
α = 90.00°, β = 90.06°, γ = 90.00°
Space group Cm (No. 8)
Unique sites:
Rb 0.000 0.000 0.000
Rb 0.193 0.500 0.486
Al 0.291 0.000 0.012
Al 0.416 0.000 0.489
H 0.002 0.286 0.504
H 0.344 0.198 0.765

E above lowest polymorph	117	meV per atom
M_tot	0.00	μB/f.u.
theoretical density	2209	kg/m³



No. 10
Y2Sc2Bi2P | PBE | optimized geometry

a = 4.844 Å, b = 4.844 Å, c = 16.135 Å
α = 90.00°, β = 90.00°, γ = 90.00°
Space group I4/mmm (No. 139)
Unique sites:
Y 0.000 0.000 0.167
Sc 0.000 0.500 0.000
Bi 0.000 0.000 0.364
P 0.000 0.000 0.000

M_tot	0.00	μB/f.u.
D(E_F)	11.33	states/eV per cell
theoretical density	6287	kg/m³
formation energy from the elements	-0.86	eV/atom



No. 11
HfAlZnTc2 | PBE | optimized geometry

a = 4.486 Å, b = 4.486 Å, c = 4.861 Å
α = 90.00°, β = 90.00°, γ = 90.00°
Space group P4/mmm (No. 123)
Unique sites:
Hf 0.000 0.000 0.000
Al 0.000 0.000 0.500
Zn 0.500 0.500 0.000
Tc 0.000 0.500 0.500

M_tot	1.24	μB/f.u.
D(E_F)	5.26	states/eV per cell
theoretical density	7924	kg/m³
formation energy from the elements	1.10	eV/atom



No. 12
CeSmCu2 | PBE | optimized geometry

a = 4.029 Å, b = 4.072 Å, c = 10.777 Å
α = 90.00°, β = 100.77°, γ = 90.00°
Space group P2_1/m (No. 11)
Unique sites:
Ce 0.043 0.250 0.090
Sm 0.308 0.750 0.614
Cu 0.151 0.750 0.305
Cu 0.426 0.250 0.848

E above lowest polymorph	0	meV per atom
M_tot	0.00	μB/f.u.
D(E_F)	11.92	states/eV per cell
theoretical density	7984	kg/m³
formation energy from the elements	-0.10	eV/atom



- Which of these has the highest M_tot?
  Mn3CdPb



- Among the records above, which one has the highest theoretical density?
  AcPrOs4



- What is the M_tot in the second record?
  0.00 μB/f.u.